Record 1
Compound: HfCuAgF6
Source: Alexandria
Functional: PBE
Structure: relaxed

The space group is P-31c (No. 163) and the conventional cell measures 5.7076, 5.7076 and 10.2426 Å, with angles of 90.00, 90.00 and 120.00 degrees. The distinct sites, in fractional coordinates, are Hf at (0.3333, 0.6667, 0.2500), Cu at (0.3333, 0.6667, 0.7500), Ag at (0.0000, 0.0000, 0.0000) and F at (0.0345, 0.3798, 0.1399).

The volume comes out at 16.05 A^3/atom. Its formation energy (no corrections) is -2514 meV/atom. The calculation puts the uncorrected energy at -5.639 eV per atom.


Record 2
Compound: Tb4PmSe6
Source: Alexandria
Functional: PBE
Structure: relaxed

The space group is Cmcm (No. 63) and the conventional cell measures 4.0355, 13.4636 and 20.8880 Å, with angles of 90.00, 90.00 and 90.00 degrees. The distinct sites, in fractional coordinates, are Tb at (0.0000, 0.0899, 0.1265), Tb at (0.0000, 0.3595, 0.0383), Pm at (0.0000, 0.1539, 0.7500), Se at (0.0000, 0.0000, 0.0000), Se at (0.0000, 0.1860, 0.2500), Se at (0.0000, 0.2684, 0.5907) and Se at (0.0000, 0.4488, 0.1656).

The volume comes out at 25.79 A^3/atom. Its formation energy (no corrections) is -1845 meV/atom. The calculation puts the uncorrected energy at -5.862 eV per atom.


Record 3
Compound: UCo4Si
Source: Alexandria
Functional: PBE
Structure: relaxed

The space group is I4_1/amd (No. 141, origin choice 2) and the conventional cell measures 4.6940, 4.6940 and 16.2051 Å, with angles of 90.00, 90.00 and 90.00 degrees. The distinct sites, in fractional coordinates, are U at (0.0000, 0.2500, 0.3750), Co at (0.0000, 0.0050, 0.7537) and Si at (0.0000, 0.2500, 0.8750).

The volume comes out at 14.88 A^3/atom. Its formation energy (no corrections) is 225 meV/atom. The energy above the most stable polymorph in this dataset is 0.5250 eV per atom. The calculation puts the uncorrected energy at -7.298 eV per atom.


Record 4
Compound: Ba2Hf2Nb
Source: Alexandria
Functional: PBE
Structure: relaxed

The space group is P4/mbm (No. 127) and the conventional cell measures 7.2022, 7.2022 and 6.2496 Å, with angles of 90.00, 90.00 and 90.00 degrees. The distinct sites, in fractional coordinates, are Ba at (0.1725, 0.3275, 0.0000), Hf at (0.1636, 0.6636, 0.5000) and Nb at (0.0000, 0.0000, 0.5000).

The volume comes out at 32.42 A^3/atom. The energy above the most stable polymorph in this dataset is 0.0000 eV per atom. The calculation puts the uncorrected energy at -5.937 eV per atom. The energy relative to the elements comes out at 0.83 eV per atom.


Record 5
Compound: CaAcIn2Au4
Source: Alexandria
Functional: PBE
Structure: relaxed

The space group is R-3m (No. 166, hexagonal axes) and the conventional cell measures 4.9319, 4.9319 and 27.3814 Å, with angles of 90.00, 90.00 and 120.00 degrees. The distinct sites, in fractional coordinates, are Ca at (0.0000, 0.0000, 0.0000), Ac at (0.0000, 0.0000, 0.5000), In at (0.0000, 0.0000, 0.2600), Au at (0.0000, 0.0000, 0.1104) and Au at (0.0000, 0.0000, 0.3753).

The volume comes out at 24.03 A^3/atom. The calculation puts the uncorrected energy at -3.714 eV per atom. The energy relative to the elements comes out at -0.63 eV per atom.


Record 6
Compound: Sr2AgCl5
Source: Alexandria
Functional: PBE
Structure: relaxed

The space group is P2_1/c (No. 14) and the conventional cell measures 12.5799, 9.2568 and 8.4741 Å, with angles of 90.00, 91.47 and 90.00 degrees. The distinct sites, in fractional coordinates, are Sr at (0.0296, 0.1186, 0.2575), Sr at (0.3525, 0.1509, 0.9579), Ag at (0.3871, 0.6152, 0.8612), Cl at (0.0742, 0.6553, 0.9335), Cl at (0.1142, 0.0951, 0.9056), Cl at (0.2641, 0.0998, 0.2718), Cl at (0.3973, 0.0793, 0.6363) and Cl at (0.4074, 0.6544, 0.5297).

The volume comes out at 30.83 A^3/atom. Its formation energy (no corrections) is -1949 meV/atom. The calculation puts the uncorrected energy at -3.880 eV per atom.